1.
Density functional theory data (GGA-PBE) for a relaxed structure of TaBeSb2.

Cell lengths 3.1366, 3.1365, 8.8536 Å; angles 90.00, 90.00, 104.17 degrees
Fractional positions:
Ta (0.0000, 0.0000, 0.5541)
Sb (0.5000, 0.5000, 0.3106)
Sb (0.0000, 0.0000, 0.9090)
Be (0.5000, 0.5000, 0.7263)

Properties
magnetization	0.00	Bohr magnetons per cell
space group	No. 35
formation energy without anion corrections	182	meV/atom

***

2.
Density functional theory data (GGA-PBE) for a relaxed structure of Zr2CrRu.

Cell lengths 3.2630, 3.2630, 6.6012 Å; angles 90.00, 90.00, 90.02 degrees
Last column: magnetic moment on the atom in μB.
Fractional positions:
Zr (0.0000, 0.0000, 0.9996)  -0.12
Zr (0.0000, 0.0000, 0.5004)  -0.12
Cr (0.5000, 0.5000, 0.2500)  1.72
Ru (0.5000, 0.5000, 0.7500)  0.06

Properties
magnetization	1.59	Bohr magnetons per cell
space group	No. 123
ΔE_f	-0.906	eV/f.u.

***

3.
Density functional theory data (GGA-PBE) for a relaxed structure of Cs2Tl6Pt3.

Cell lengths 4.9655, 8.9369, 8.9369 Å; angles 120.00, 90.00, 90.00 degrees
Fractional positions:
Tl (0.5000, 0.3286, 0.0000)
Tl (0.5000, 0.6714, 0.6714)
Tl (0.0000, 0.0000, 0.7946)
Tl (0.0000, 0.2054, 0.2054)
Tl (0.0000, 0.7946, 0.0000)
Tl (0.5000, 0.0000, 0.3286)
Pt (0.5000, 0.6521, 0.0000)
Pt (0.5000, 0.3479, 0.3479)
Pt (0.5000, 0.0000, 0.6521)
Cs (0.0000, 0.3333, 0.6667)
Cs (0.0000, 0.6667, 0.3333)

Properties
magnetization	0.00	Bohr magnetons per cell
space group	No. 189
ΔE_f	-0.463	eV/f.u.